# YBeIr

Crystalline YBeIr at its relaxed geometry (PBE, Alexandria).

Cell: 5.472 5.486 7.498 Å, 90.00 111.29 90.00°
Space group P2_1/c (No. 14)
One atom of each set of equivalent atoms:
Y: 0.197 0.121 0.373
Be: 0.396 0.619 0.289
Ir: 0.251 0.625 0.537

Output
**ΔH_f (0 K)**: -0.64 eV/atom
**Density of states at the Fermi level**: 5.69 states/eV/cell
**E_tot**: -6.99 eV per atom
**Total magnetization**: 0.00 μB per formula unit

# GeS4Cl

Crystalline GeS4Cl at its relaxed geometry (PBE, Alexandria).

Cell: 4.825 5.096 16.741 Å, 89.30 85.95 65.63°
Space group P-1 (No. 2)
One atom of each set of equivalent atoms:
Ge: 0.094 0.279 0.359
S: 0.046 0.895 0.057
S: 0.160 0.274 0.566
S: 0.299 0.934 0.640
S: 0.490 0.669 0.041
Cl: 0.060 0.440 0.235

Output
**Density of states at the Fermi level**: 2.20 states/eV/cell
**E_tot**: -3.96 eV per atom
**Raw formation energy**: -0.129 eV per atom
**Total magnetization**: 0.00 μB per formula unit

# Ba2Ca2Tc

Crystalline Ba2Ca2Tc at its relaxed geometry (PBE, Alexandria).

Cell: 7.715 7.715 6.617 Å, 90.00 90.00 90.00°
Space group P4/mbm (No. 127)
One atom of each set of equivalent atoms:
Ba: 0.169 0.331 0.000
Ca: 0.185 0.685 0.500
Tc: 0.000 0.000 0.000

Output
**ΔH_f (0 K)**: 0.76 eV/atom
**Density of states at the Fermi level**: 18.81 states/eV/cell
**E_tot**: -2.89 eV per atom
**Total magnetization**: 0.00 μB per formula unit

# CsNa2WI

Crystalline CsNa2WI at its relaxed geometry (PBE, Alexandria).

Cell: 6.070 6.070 5.231 Å, 90.00 90.00 90.00°
Space group P4/mmm (No. 123)
One atom of each set of equivalent atoms:
Cs: 0.000 0.000 0.000
Na: 0.000 0.500 0.500
W: 0.500 0.500 0.500
I: 0.500 0.500 0.000

Output
**Density of states at the Fermi level**: 3.33 states/eV/cell
**E_tot**: -2.79 eV per atom
**Raw formation energy**: 0.812 eV per atom
**Total magnetization**: 1.61 μB per formula unit

# NpInGa2Au4

Crystalline NpInGa2Au4 at its relaxed geometry (PBE, Alexandria).

Cell: 4.5051 4.5051 28.1315 Å, 90.00 90.00 120.00°
Space group R-3m (No. 166, hexagonal axes)
One atom of each set of equivalent atoms:
Np: 0.0000 0.0000 0.0000
In: 0.0000 0.0000 0.5000
Ga: 0.0000 0.0000 0.2608
Au: 0.0000 0.0000 0.1192
Au: 0.0000 0.0000 0.3918

Output
**ΔH_f (0 K)**: -0.18 eV/atom
**Density of states at the Fermi level**: 45.38 states/eV/cell
**E_tot**: -4.53 eV per atom
**Total magnetization**: 3.94 μB per formula unit

# YHo3Cd4

Crystalline YHo3Cd4 at its relaxed geometry (PBE, Alexandria).

Cell: 5.263 5.263 7.518 Å, 90.00 90.00 90.00°
Space group P4/mmm (No. 123)
One atom of each set of equivalent atoms:
Y: 0.000 0.000 0.000
Ho: 0.000 0.000 0.500
Ho: 0.500 0.500 0.000
Ho: 0.500 0.500 0.500
Cd: 0.000 0.500 0.251

Output
**ΔH_f (0 K)**: -0.33 eV/atom
**Density of states at the Fermi level**: 8.08 states/eV/cell
**E_tot**: -3.31 eV per atom
**Total magnetization**: 0.00 μB per formula unit